[1]
A plane-wave DFT calculation with GGA-PBE was carried out for a geometry-optimized LaPrHgN structure.

Summary:
D(E_F) ... 3.5 states/eV per cell
VASP energy ... -5.4176 eV per atom

Unit cell a=3.890 b=3.908 c=7.512 alpha=105.08 beta=105.00 gamma=90.00
Last column: magnetic moment on the atom in μB.
Element x y z (fractional)
Pr (0.668, 0.127, 0.337)  0.11
Hg (0.319, 0.777, 0.638)  0.02
La (0.976, 0.434, 0.952)  0.10
N (0.571, 0.529, 0.142)  -0.01

[2]
A plane-wave DFT calculation with GGA-PBE was carried out for a geometry-optimized La2PrHgN structure.

Summary:
D(E_F) ... 5.5 states/eV per cell
VASP energy ... -5.4192 eV per atom

Unit cell a=5.107 b=5.092 c=5.092 alpha=90.00 beta=90.00 gamma=90.00
Element x y z (fractional)
Pr (0.500, 0.000, 0.000)
N (0.000, 0.000, 0.000)
La (0.000, 0.000, 0.500)
La (0.000, 0.500, 0.000)
Hg (0.500, 0.500, 0.500)

[3]
A plane-wave DFT calculation with GGA-PBE was carried out for a geometry-optimized La2ReHgN structure.

Summary:
D(E_F) ... 4.1 states/eV per cell
VASP energy ... -5.9715 eV per atom
Distance to the lowest polymorph of the same formula ... 4.08 eV/f.u.

Unit cell a=5.001 b=4.476 c=5.001 alpha=90.00 beta=90.00 gamma=90.00
Last column: magnetic moment on the atom in μB.
Element x y z (fractional)
Re (0.500, 0.500, 0.500)  0.86
La (0.000, 0.000, 0.500)  -0.04
La (0.500, 0.000, 0.000)  -0.04
Hg (0.000, 0.500, 0.000)  -0.01
N (0.000, 0.000, 0.000)  0.01

[4]
A plane-wave DFT calculation with GGA-PBE was carried out for a geometry-optimized La2ReHgN structure.

Summary:
D(E_F) ... 2.7 states/eV per cell
VASP energy ... -6.7870 eV per atom
Distance to the lowest polymorph of the same formula ... 0.00 eV/f.u.

Unit cell a=5.362 b=5.362 c=3.917 alpha=90.00 beta=90.00 gamma=90.00
Element x y z (fractional)
Re (0.000, 0.000, 0.500)
La (0.500, 0.000, 0.000)
La (0.000, 0.500, 0.000)
Hg (0.500, 0.500, 0.500)
N (0.000, 0.000, 0.000)